[1]
# AlHgPt2

Crystalline AlHgPt2 at its relaxed geometry (PBE, Alexandria via LeMat-Bulk).

Values from the calculation:
- DFT formation energy (eV per atom) = -0.3769
- raw total energy (eV for the cell shown) = -17.63
- ΔE to the lowest computed polymorph (eV/atom) = 0.212
- Fermi-level density of states (states/eV/f.u.) = 0.672
- M_tot (μB per formula unit) = 0.0

Cell lengths 4.832, 4.832, 4.832 Å; angles 129.33, 129.33, 74.48 degrees
Fractional positions:
Hg (0.750, 0.250, 0.500)
Pt (0.000, 0.000, 0.000)
Pt (0.500, 0.500, 0.000)
Al (0.250, 0.750, 0.500)



[2]
# EuMnZn4

Crystalline EuMnZn4 at its relaxed geometry (PBE, Alexandria via LeMat-Bulk).

Values from the calculation:
- DFT formation energy (eV per atom) = -0.0680
- raw total energy (eV for the cell shown) = -24.95
- Fermi-level density of states (states/eV/f.u.) = 3.167
- M_tot (μB per formula unit) = 3.7

Cell lengths 5.308, 5.308, 5.308 Å; angles 60.00, 60.00, 60.00 degrees
Fractional positions:
Eu (0.250, 0.250, 0.250)
Zn (0.626, 0.626, 0.121)
Zn (0.626, 0.121, 0.626)
Zn (0.626, 0.626, 0.626)
Zn (0.121, 0.626, 0.626)
Mn (0.000, 0.000, 0.000)



[3]
# TbZrAl

Crystalline TbZrAl at its relaxed geometry (PBE, Alexandria via LeMat-Bulk).

Values from the calculation:
- DFT formation energy (eV per atom) = 0.0392
- raw total energy (eV for the cell shown) = -16.80
- ΔE to the lowest computed polymorph (eV/atom) = 0.284
- Fermi-level density of states (states/eV/f.u.) = 3.566
- M_tot (μB per formula unit) = 0.0

Cell lengths 3.046, 5.041, 5.041 Å; angles 120.00, 90.00, 90.00 degrees
Fractional positions:
Tb (0.166, 0.000, 0.000)
Al (0.667, 0.667, 0.333)
Zr (0.167, 0.333, 0.667)



[4]
# ThZrCo2As2

Crystalline ThZrCo2As2 at its relaxed geometry (PBE, Alexandria via LeMat-Bulk).

Values from the calculation:
- DFT formation energy (eV per atom) = -0.8437
- raw total energy (eV for the cell shown) = -44.54
- Fermi-level density of states (states/eV/f.u.) = 3.971
- M_tot (μB per formula unit) = 0.0

Cell lengths 4.013, 4.013, 7.619 Å; angles 90.00, 90.00, 120.00 degrees
Fractional positions:
Th (0.000, 0.000, 0.000)
Zr (0.000, 0.000, 0.500)
Co (0.667, 0.333, 0.252)
Co (0.333, 0.667, 0.748)
As (0.667, 0.333, 0.719)
As (0.333, 0.667, 0.281)



[5]
# Cu2TeSF

Crystalline Cu2TeSF at its relaxed geometry (PBE, Alexandria via LeMat-Bulk).

Values from the calculation:
- raw total energy (eV for the cell shown) = -15.40
- Fermi-level density of states (states/eV/f.u.) = 3.632
- uncorrected formation energy (meV/atom) = 386
- M_tot (μB per formula unit) = 1.0

Cell lengths 4.884, 5.074, 4.884 Å; angles 90.00, 90.00, 90.00 degrees
Fractional positions:
S (0.000, 0.500, 0.000)
Te (0.000, 0.000, 0.000)
Cu (0.000, 0.000, 0.500)
Cu (0.500, 0.000, 0.000)
F (0.500, 0.500, 0.500)



[6]
# Zn2FeBr

Crystalline Zn2FeBr at its relaxed geometry (PBE, Alexandria via LeMat-Bulk).

Values from the calculation:
- raw total energy (eV for the cell shown) = -11.61
- ΔE to the lowest computed polymorph (eV/atom) = 0.139
- Fermi-level density of states (states/eV/f.u.) = 3.848
- uncorrected formation energy (meV/atom) = 268
- M_tot (μB per formula unit) = 2.0

Cell lengths 3.215, 3.215, 6.700 Å; angles 90.00, 90.00, 90.00 degrees
Fractional positions:
Br (0.500, 0.500, 0.250)
Fe (0.500, 0.500, 0.750)
Zn (0.000, 0.000, 0.942)
Zn (0.000, 0.000, 0.558)



[7]
# Dy2SnPb

Crystalline Dy2SnPb at its relaxed geometry (PBE, Alexandria via LeMat-Bulk).

Values from the calculation:
- DFT formation energy (eV per atom) = -0.5312
- raw total energy (eV for the cell shown) = -19.04
- ΔE to the lowest computed polymorph (eV/atom) = 0.067
- Fermi-level density of states (states/eV/f.u.) = 3.592
- M_tot (μB per formula unit) = 0.0

Cell lengths 3.506, 3.506, 8.879 Å; angles 90.00, 90.00, 90.00 degrees
Fractional positions:
Pb (0.500, 0.500, 0.500)
Sn (0.500, 0.500, 0.000)
Dy (0.000, 0.000, 0.758)
Dy (0.000, 0.000, 0.242)



[8]
# Zr3In5O12

Crystalline Zr3In5O12 at its relaxed geometry (PBE, Alexandria via LeMat-Bulk).

Values from the calculation:
- raw total energy (eV for the cell shown) = -543.18
- Fermi-level density of states (states/eV/f.u.) = 9.823
- uncorrected formation energy (meV/atom) = -1848
- M_tot (μB per formula unit) = 1.9

Cell lengths 11.213, 11.213, 11.213 Å; angles 109.47, 109.47, 109.47 degrees
Fractional positions:
Zr (0.750, 0.375, 0.125)
Zr (0.875, 0.750, 0.125)
Zr (0.375, 0.750, 0.625)
Zr (0.250, 0.125, 0.375)
Zr (0.875, 0.125, 0.250)
Zr (0.375, 0.625, 0.250)
Zr (0.625, 0.375, 0.750)
Zr (0.125, 0.875, 0.750)
Zr (0.750, 0.875, 0.625)
Zr (0.625, 0.250, 0.375)
Zr (0.125, 0.250, 0.875)
Zr (0.250, 0.625, 0.875)
In (0.125, 0.375, 0.250)
In (0.000, 0.500, 0.000)
In (0.000, 0.000, 0.000)
In (0.375, 0.250, 0.125)
In (0.500, 0.000, 0.500)
In (0.500, 0.500, 0.000)
In (0.125, 0.750, 0.375)
In (0.750, 0.125, 0.875)
In (0.750, 0.625, 0.375)
In (0.375, 0.125, 0.750)
In (0.625, 0.875, 0.250)
In (0.500, 0.500, 0.500)
In (0.500, 0.000, 0.000)
In (0.000, 0.000, 0.500)
In (0.250, 0.375, 0.625)
In (0.250, 0.875, 0.125)
In (0.000, 0.500, 0.500)
In (0.875, 0.250, 0.625)
In (0.625, 0.750, 0.875)
In (0.875, 0.625, 0.750)
O (0.726, 0.138, 0.054)
O (0.328, 0.554, 0.417)
O (0.946, 0.362, 0.274)
O (0.554, 0.226, 0.138)
O (0.588, 0.726, 0.672)
O (0.946, 0.583, 0.172)
O (0.328, 0.774, 0.412)
O (0.083, 0.912, 0.138)
O (0.583, 0.946, 0.672)
O (0.726, 0.588, 0.172)
O (0.774, 0.446, 0.362)
O (0.828, 0.917, 0.054)
O (0.138, 0.726, 0.554)
O (0.362, 0.417, 0.088)
O (0.088, 0.917, 0.362)
O (0.412, 0.138, 0.583)
O (0.088, 0.172, 0.226)
O (0.446, 0.672, 0.083)
O (0.828, 0.912, 0.274)
O (0.138, 0.412, 0.083)
O (0.362, 0.946, 0.774)
O (0.583, 0.638, 0.412)
O (0.917, 0.828, 0.554)
O (0.774, 0.328, 0.912)
O (0.417, 0.362, 0.588)
O (0.083, 0.172, 0.446)
O (0.226, 0.672, 0.088)
O (0.172, 0.088, 0.726)
O (0.638, 0.054, 0.226)
O (0.862, 0.588, 0.917)
O (0.554, 0.328, 0.917)
O (0.588, 0.862, 0.417)
O (0.912, 0.828, 0.774)
O (0.912, 0.083, 0.638)
O (0.862, 0.274, 0.446)
O (0.172, 0.083, 0.946)
O (0.638, 0.583, 0.912)
O (0.417, 0.054, 0.328)
O (0.274, 0.412, 0.828)
O (0.226, 0.554, 0.638)
O (0.917, 0.088, 0.862)
O (0.672, 0.226, 0.588)
O (0.446, 0.774, 0.862)
O (0.054, 0.417, 0.828)
O (0.412, 0.274, 0.328)
O (0.054, 0.638, 0.726)
O (0.672, 0.446, 0.583)
O (0.274, 0.862, 0.946)